The following is a PBE calculation of a relaxed structure of TbAl8Pd4, from Alexandria.

As for the energy of formation from the pure elements: -9.383 eV per formula unit. The electronic total energy is -4.979 eV per atom.

Unit cell a=5.444 b=6.822 c=6.822 alpha=80.84 beta=66.49 gamma=66.49
Positions (direct):
Pd 0.000 0.500 0.000
Al 0.348 0.652 0.652
Pd 0.500 0.000 0.500
Al 0.652 0.348 0.348
Tb 0.000 0.000 0.000
Pd 0.500 0.500 0.000
Pd 0.000 0.000 0.500
Al 0.500 0.780 0.220
Al 0.280 0.220 0.220
Al 0.000 0.652 0.348
Al 0.500 0.220 0.780
Al 0.720 0.780 0.780
Al 0.000 0.348 0.652